# 1
A relaxed structure of Pr2Ho5TmTh, computed with GGA-PBE.

Geometry as extended XYZ:
```
18
Lattice="5.606 0.000 0.000 -2.803 9.914 0.000 0.000 0.000 10.788" Properties=species:S:1:pos:R:3 pbc="T T T"
Ho 2.803 9.612 5.673
Tm 0.000 3.971 0.100
Pr 0.000 2.271 3.410
Ho 0.000 9.523 7.955
Ho 2.803 4.364 8.778
Th 0.000 8.254 4.944
Ho 0.000 0.301 0.279
Th 2.803 1.659 10.338
Pr 2.803 7.625 2.528
Ho 2.803 3.980 2.249
Ho 0.000 5.550 3.383
Tm 2.803 5.943 5.494
Ho 2.803 2.187 5.617
Ho 0.000 5.934 7.643
Pr 2.803 7.642 8.804
Ho 2.803 0.391 2.561
Pr 0.000 2.289 7.923
Ho 0.000 7.727 0.223
```

Computed properties:
Total magnetization: 0.00 μB/f.u.
E_tot: -4.7569 eV/atom
Energy of formation: 170 meV/atom

***

# 2
A relaxed structure of PrHo3TmTh, computed with GGA-PBE.

Geometry as extended XYZ:
```
12
Lattice="5.054 0.000 0.000 0.000 7.873 -1.161 0.000 -3.249 10.131" Properties=species:S:1:pos:R:3 pbc="T T T"
Ho 3.790 6.695 -0.573
Ho 3.790 1.175 5.075
Th 3.790 0.143 8.456
Ho 1.263 2.278 7.318
Th 1.263 4.481 0.514
Ho 3.790 2.346 1.653
Pr 3.790 4.595 6.152
Tm 1.263 -1.025 6.210
Tm 3.790 5.649 2.760
Ho 1.263 -2.071 9.543
Ho 1.263 3.449 3.895
Pr 1.263 0.029 2.819
```

Computed properties:
Total magnetization: 0.00 μB/f.u.
E_tot: -5.0383 eV/atom
Energy of formation: 29 meV/atom

***

# 3
A relaxed structure of PrHo2Tm4Th, computed with GGA-PBE.

Geometry as extended XYZ:
```
8
Lattice="-4.993 -0.767 0.046 0.706 -4.461 2.238 0.119 -0.111 11.075" Properties=species:S:1:pos:R:3 pbc="T T T"
Tm 0.622 -3.447 9.950
Tm -2.228 -1.603 8.850
Ho 0.119 -0.111 11.075
Pr -2.144 -2.614 1.142
Th 0.413 -2.286 6.657
Tm -1.940 -3.736 4.510
Tm -4.790 -1.892 3.410
Ho -2.437 -0.439 5.561
```

Computed properties:
Total magnetization: 0.00 μB/f.u.
E_tot: -4.8732 eV/atom
Energy of formation: 32 meV/atom

***

# 4
A relaxed structure of PrHo5Tm2Th, computed with GGA-PBE.

Geometry as extended XYZ:
```
18
Lattice="-3.507 1.840 4.102 -4.884 -8.918 -4.139 4.639 -5.533 6.448" Properties=species:S:1:pos:R:3 pbc="T T T"
Ho -0.975 -7.430 6.462
Ho -3.331 -3.390 2.635
Tm -3.081 -9.842 5.743
Pr 1.256 -5.708 7.597
Tm 1.489 -6.056 3.990
Ho -0.092 -0.307 0.059
Tm -5.652 -6.066 1.851
Tm 0.013 -3.586 1.619
Ho -2.808 -11.638 2.819
Th -3.418 -6.920 4.144
Ho -0.684 -3.757 5.063
Ho -0.732 -8.852 3.345
Th -2.426 -3.196 -0.641
Ho -5.051 -6.491 -1.408
Ho -1.988 -6.123 1.046
Ho -1.018 -0.887 3.490
Ho -5.816 -9.733 3.355
Pr -3.413 -8.807 1.031
```

Computed properties:
Total magnetization: 0.00 μB/f.u.
E_tot: -4.7231 eV/atom
Energy of formation: 169 meV/atom

***

# 5
A relaxed structure of PrHo2TmTh, computed with GGA-PBE.

Geometry as extended XYZ:
```
10
Lattice="5.636 0.000 0.000 0.000 8.558 1.442 0.000 -1.177 6.964" Properties=species:S:1:pos:R:3 pbc="T T T"
Pr 0.000 -0.588 3.482
Ho 2.818 2.171 3.949
Tm 5.635 3.396 5.944
Th 2.819 -0.883 5.223
Ho 2.818 2.760 0.467
Ho 2.818 4.621 7.939
Pr 0.000 0.000 0.000
Tm 0.001 3.985 2.462
Th 2.818 -0.294 1.741
Ho 2.818 5.209 4.457
```

Computed properties:
Total magnetization: 0.00 μB/f.u.
E_tot: -4.8381 eV/atom
Energy of formation: 327 meV/atom

***

# 6
A relaxed structure of Pr3Y6Ho2Th, computed with GGA-PBE.

Geometry as extended XYZ:
```
12
Lattice="-3.539 -1.922 -4.771 5.855 -2.087 0.582 -4.615 -7.637 7.865" Properties=species:S:1:pos:R:3 pbc="T T T"
Pr -4.277 -5.768 0.056
Y -0.189 -8.810 3.665
Y -2.909 -6.757 4.898
Pr -1.149 -5.823 1.838
Ho 2.725 -2.032 -1.202
Y 0.610 -4.889 -1.222
Pr 1.978 -5.878 3.620
Y -3.289 -8.755 1.899
Y 0.991 -2.891 1.777
Th 0.000 0.000 0.000
Ho -0.408 -1.977 -2.987
Y -2.109 -2.837 0.011
```

Computed properties:
Total magnetization: 0.00 μB/f.u.
E_tot: -5.7887 eV/atom
Energy of formation: 19 meV/atom